Here is a geometry-optimized Li8Ag5 structure from the Alexandria database. Energies are from GGA-PBEsol.

abc: 8.153 8.153 8.153
angles: 109.47 109.47 109.47
Atoms (fractional coordinates):
Li (0.628, 0.282, 0.282)
Li (0.372, 0.654, 0.654)
Li (0.000, 0.718, 0.346)
Li (0.346, 0.718, 0.000)
Li (0.000, 0.346, 0.718)
Li (0.718, 0.346, 0.000)
Li (0.654, 0.654, 0.372)
Li (0.282, 0.282, 0.628)
Li (0.346, 0.000, 0.718)
Li (0.282, 0.628, 0.282)
Li (0.654, 0.372, 0.654)
Li (0.718, 0.000, 0.346)
Li (0.227, 0.000, 0.000)
Li (0.773, 0.773, 0.773)
Li (0.000, 0.000, 0.227)
Li (0.000, 0.227, 0.000)
Ag (0.654, 0.000, 0.000)
Ag (0.346, 0.346, 0.346)
Ag (0.000, 0.000, 0.654)
Ag (0.000, 0.654, 0.000)
Ag (0.354, 0.354, 0.000)
Ag (0.646, 0.646, 0.000)
Ag (0.354, 0.000, 0.354)
Ag (0.646, 0.000, 0.646)
Ag (0.000, 0.646, 0.646)
Ag (0.000, 0.354, 0.354)

- DOS at the Fermi energy (states/eV/f.u.) = 3.316
- energy of formation (eV per atom) = -0.175